Density functional theory data (PBE) for crystalline K2TeMo at its relaxed geometry.

abc: 12.7884 12.7884 9.4380
angles: 47.35 47.35 90.00
With the nearest neighbours (Å) after each atom.
Fractional positions:
Mo (0.2500, 0.7500, 0.5000)  2 Te 2.70
Te (0.0000, 0.0000, 0.0000)  2 Mo 2.70
Te (0.7500, 0.2500, 0.5000)  2 Mo 2.70
Mo (0.5000, 0.5000, 0.0000)  2 Te 2.70
K (0.9572, 0.6250, 0.2500)  2 Te 3.43
K (0.7928, 0.1250, 0.2500)  2 Te 3.43
K (0.3750, 0.2072, 0.7500)  2 Te 3.43
K (0.8750, 0.0428, 0.7500)  2 Te 3.43

Summary:
total moment: 4.00 μB per formula unit
formation energy from raw total energies: 188 kJ/mol of formula units
volume: 442 Å³/cell